Entry 1:
Al5GaTc after structural relaxation. Source: Alexandria, functional GGA-PBE.

Lattice parameters (Å, degrees): 7.2964 9.5560 4.6613 90.00 90.00 90.00
Closest atoms and distances in Å follow each position.
Space group Imm2 (No. 44)
Symmetry-distinct sites (fractional):
Al (0.0000, 0.0000, 0.0000) (multiplicity 2)  2 Ga 2.27-2.39
Al (0.0000, 0.2513, 0.7081) (multiplicity 4)  1 Tc 2.38, 1 Ga 2.61
Al (0.1685, 0.5000, 0.2328) (multiplicity 4)  2 Al 2.46-2.72, 2 Tc 2.62-2.65, 1 Ga 2.68
Ga (0.0000, 0.0000, 0.4872) (multiplicity 2)  2 Al 2.27-2.39
Tc (0.0000, 0.5000, 0.7293) (multiplicity 2)  6 Al 2.38-2.65

- density (g/cm3) = 3.1
- N(E_F) (states/eV/cell) = 8.1
- ΔE_f (eV/atom) = 0.544
- raw total energy (eV per atom) = -4.043

Entry 2:
Al2Ga2Tc after structural relaxation. Source: Alexandria, functional GGA-PBE.

Lattice parameters (Å, degrees): 10.8201 5.3674 5.5600 90.00 97.37 90.00
Closest atoms and distances in Å follow each position.
Space group P2_1/c (No. 14)
Symmetry-distinct sites (fractional):
Al (0.1125, 0.2487, 0.0318) (multiplicity 4)  3 Ga 2.56-2.71, 2 Tc 2.58-2.59, 2 Al 2.78
Al (0.3113, 0.5543, 0.3644) (multiplicity 4)  4 Ga 2.62-2.67, 3 Tc 2.64-2.75
Ga (0.1260, 0.7445, 0.0544) (multiplicity 4)  5 Al 2.56-2.71, 2 Ga 2.78, 2 Tc 2.79-2.87
Ga (0.4835, 0.1908, 0.6556) (multiplicity 4)  2 Al 2.62-2.67, 3 Tc 2.67-2.77, 5 Ga 2.73-2.89
Tc (0.2928, 0.0643, 0.3254) (multiplicity 4)  5 Al 2.58-2.75, 5 Ga 2.67-2.87

- density (g/cm3) = 6.0
- excess energy over the best structure of this formula in the dataset (meV/atom) = 0.0
- N(E_F) (states/eV/cell) = 8.1
- ΔE_f (eV/atom) = -0.169
- raw total energy (eV per atom) = -4.950

Entry 3:
TiAlGaTc after structural relaxation. Source: Alexandria, functional GGA-PBE.

Lattice parameters (Å, degrees): 6.1927 6.1927 6.1927 90.00 90.00 90.00
Closest atoms and distances in Å follow each position.
Space group F-43m (No. 216)
Symmetry-distinct sites (fractional):
Ti (0.0000, 0.0000, 0.0000) (multiplicity 4)  4 Ga 2.68, 4 Tc 2.68
Al (0.0000, 0.0000, 0.5000) (multiplicity 4)  4 Tc 2.68, 4 Ga 2.68
Ga (0.2500, 0.2500, 0.2500) (multiplicity 4)  4 Al 2.68, 4 Ti 2.68
Tc (0.2500, 0.2500, 0.7500) (multiplicity 4)  4 Ti 2.68, 4 Al 2.68

- density (g/cm3) = 6.8
- excess energy over the best structure of this formula in the dataset (meV/atom) = 124.0
- N(E_F) (states/eV/cell) = 13.8
- ΔE_f (eV/atom) = -0.321
- raw total energy (eV per atom) = -6.579

Entry 4:
TiAlGaTc2 after structural relaxation. Source: Alexandria, functional GGA-PBE.

Lattice parameters (Å, degrees): 4.5245 4.5245 4.8069 90.00 90.00 90.00
Closest atoms and distances in Å follow each position.
Space group P4/mmm (No. 123)
Symmetry-distinct sites (fractional):
Ti (0.0000, 0.0000, 0.0000) (multiplicity 1)  4 Tc 2.26, 2 Al 2.40
Al (0.0000, 0.0000, 0.5000) (multiplicity 1)  2 Ti 2.40
Ga (0.5000, 0.5000, 0.5000) (multiplicity 1)  4 Al 3.20, 8 Tc 3.30
Tc (0.0000, 0.5000, 0.0000) (multiplicity 2)  2 Ti 2.26

- density (g/cm3) = 5.7
- N(E_F) (states/eV/cell) = 3.8
- ΔE_f (eV/atom) = 1.147
- raw total energy (eV per atom) = -5.933

Entry 5:
TiAlGaTc after structural relaxation. Source: Alexandria, functional GGA-PBE.

Lattice parameters (Å, degrees): 3.2456 3.2456 5.7785 90.00 90.00 90.00
Closest atoms and distances in Å follow each position.
Space group P4mm (No. 99)
Symmetry-distinct sites (fractional):
Ti (0.0000, 0.0000, 0.0000) (multiplicity 1)  4 Tc 2.64, 1 Al 2.72, 4 Ga 2.80
Al (0.0000, 0.0000, 0.5299) (multiplicity 1)  4 Tc 2.69, 1 Ti 2.72, 4 Ga 2.72
Ga (0.5000, 0.5000, 0.2763) (multiplicity 1)  4 Al 2.72, 4 Ti 2.80, 2 Tc 2.87-2.91
Tc (0.5000, 0.5000, 0.7730) (multiplicity 1)  4 Ti 2.64, 4 Al 2.69, 2 Ga 2.87-2.91

- density (g/cm3) = 6.6
- excess energy over the best structure of this formula in the dataset (meV/atom) = 0.0
- N(E_F) (states/eV/cell) = 1.5
- ΔE_f (eV/atom) = -0.445
- raw total energy (eV per atom) = -6.703

Entry 6:
AlVGaTc after structural relaxation. Source: Alexandria, functional GGA-PBE.

Lattice parameters (Å, degrees): 6.0820 6.0820 6.0820 90.00 90.00 90.00
Closest atoms and distances in Å follow each position.
Space group F-43m (No. 216)
Symmetry-distinct sites (fractional):
Al (0.0000, 0.0000, 0.0000) (multiplicity 4)  4 Tc 2.63, 4 Ga 2.63
V (0.0000, 0.0000, 0.5000) (multiplicity 4)  4 Ga 2.63, 4 Tc 2.63
Ga (0.2500, 0.2500, 0.7500) (multiplicity 4)  4 Al 2.63, 4 V 2.63
Tc (0.2500, 0.2500, 0.2500) (multiplicity 4)  4 Al 2.63, 4 V 2.63

- density (g/cm3) = 7.3
- excess energy over the best structure of this formula in the dataset (meV/atom) = 98.8
- N(E_F) (states/eV/cell) = 2.8
- ΔE_f (eV/atom) = -0.237
- raw total energy (eV per atom) = -6.800

Entry 7:
AlVGaTc after structural relaxation. Source: Alexandria, functional GGA-PBE.

Lattice parameters (Å, degrees): 3.1524 3.1524 5.7730 90.00 90.00 90.00
Closest atoms and distances in Å follow each position.
Space group P4mm (No. 99)
Symmetry-distinct sites (fractional):
Al (0.0000, 0.0000, 0.0000) (multiplicity 1)  4 Tc 2.66, 4 Ga 2.70, 1 V 2.76
V (0.0000, 0.0000, 0.4788) (multiplicity 1)  4 Tc 2.59, 4 Ga 2.67, 1 Al 2.76
Ga (0.5000, 0.5000, 0.7347) (multiplicity 1)  4 V 2.67, 4 Al 2.70, 2 Tc 2.80-2.97
Tc (0.5000, 0.5000, 0.2499) (multiplicity 1)  4 V 2.59, 4 Al 2.66, 1 Ga 2.80

- density (g/cm3) = 7.1
- excess energy over the best structure of this formula in the dataset (meV/atom) = 0.0
- N(E_F) (states/eV/cell) = 2.1
- ΔE_f (eV/atom) = -0.336
- raw total energy (eV per atom) = -6.899

Entry 8:
Zr2AlGaTc after structural relaxation. Source: Alexandria, functional GGA-PBE.

Lattice parameters (Å, degrees): 4.9924 4.9924 4.3701 90.00 90.00 90.00
Closest atoms and distances in Å follow each position.
Space group P4/mmm (No. 123)
Symmetry-distinct sites (fractional):
Zr (0.0000, 0.5000, 0.0000) (multiplicity 2)  2 Ga 2.50
Al (0.0000, 0.0000, 0.5000) (multiplicity 1)  2 Ga 2.19
Ga (0.0000, 0.0000, 0.0000) (multiplicity 1)  2 Al 2.19
Tc (0.5000, 0.5000, 0.5000) (multiplicity 1)  8 Zr 3.32, 4 Al 3.53

- density (g/cm3) = 5.7
- N(E_F) (states/eV/cell) = 4.0
- ΔE_f (eV/atom) = 0.758
- raw total energy (eV per atom) = -6.088

Entry 9:
Al3GaTe after structural relaxation. Source: Alexandria, functional GGA-PBE.

Lattice parameters (Å, degrees): 5.4059 5.4059 5.4059 90.00 90.00 90.00
Closest atoms and distances in Å follow each position.
Space group Pm-3m (No. 221)
Symmetry-distinct sites (fractional):
Al (0.0000, 0.0000, 0.5000) (multiplicity 3)  2 Te 2.70
Ga (0.5000, 0.5000, 0.5000) (multiplicity 1)  12 Al 3.82
Te (0.0000, 0.0000, 0.0000) (multiplicity 1)  6 Al 2.70

- density (g/cm3) = 2.9
- excess energy over the best structure of this formula in the dataset (meV/atom) = 631.0
- N(E_F) (states/eV/cell) = 4.7
- raw total energy (eV per atom) = -2.541
- formation energy (no corrections) (meV per atom) = 938

Entry 10:
AlGaTe2 after structural relaxation. Source: Alexandria, functional GGA-PBE.

Lattice parameters (Å, degrees): 4.0944 4.0944 22.3621 90.00 90.00 120.00
Closest atoms and distances in Å follow each position.
Space group R3m (No. 160, hexagonal axes)
Symmetry-distinct sites (fractional):
Al (0.0000, 0.0000, 0.0000) (multiplicity 3)  6 Te 2.81-2.89
Ga (0.0000, 0.0000, 0.8346) (multiplicity 3)  6 Te 3.13-3.26
Te (0.0000, 0.0000, 0.4009) (multiplicity 3)  3 Al 2.81
Te (0.0000, 0.0000, 0.5927) (multiplicity 3)  3 Al 2.89, 3 Ga 3.13

- density (g/cm3) = 5.4
- N(E_F) (states/eV/cell) = 1.9
- raw total energy (eV per atom) = -3.524
- formation energy (no corrections) (meV per atom) = -261

Entry 11:
AlGaTe2 after structural relaxation. Source: Alexandria, functional GGA-PBE.

Lattice parameters (Å, degrees): 7.5063 7.5063 9.4132 90.00 90.00 90.00
Closest atoms and distances in Å follow each position.
Space group I-42d (No. 122)
Symmetry-distinct sites (fractional):
Al (0.0000, 0.0000, 0.0000) (multiplicity 4)  4 Te 2.65
Ga (0.0000, 0.0000, 0.5000) (multiplicity 4)  4 Te 3.20
Te (0.1930, 0.2500, 0.1250) (multiplicity 8)  2 Al 2.65

- density (g/cm3) = 4.4
- N(E_F) (states/eV/cell) = 0.0
- raw total energy (eV per atom) = -3.513
- formation energy (no corrections) (meV per atom) = -250

Entry 12:
AlGaTe2 after structural relaxation. Source: Alexandria, functional GGA-PBE.

Lattice parameters (Å, degrees): 3.8424 3.8424 29.1156 90.00 90.00 120.00
Closest atoms and distances in Å follow each position.
Space group R-3m (No. 166, hexagonal axes)
Symmetry-distinct sites (fractional):
Al (0.0000, 0.0000, 0.0000) (multiplicity 3)  6 Te 2.78
Ga (0.0000, 0.0000, 0.5000) (multiplicity 3)  2 Te 3.18
Te (0.0000, 0.0000, 0.3907) (multiplicity 6)  3 Al 2.78

- density (g/cm3) = 4.7
- N(E_F) (states/eV/cell) = 7.3
- raw total energy (eV per atom) = -3.310
- formation energy (no corrections) (meV per atom) = -47